1.
VASP calculation (GGA-PBE) on PmCdIn after structural relaxation.

Output
Energy ... -3.23 eV/atom
ρ ... 7.80 g cm⁻³
Polymorph energy (0 for the lowest one) ... 3 meV per atom

Cell lengths 3.7376, 4.9473, 4.9473 Å; angles 120.00, 90.00, 90.00 degrees
With the nearest neighbours (Å) after each atom.
Fractional positions:
In1 0.1668 0.6667 0.3333  3 Cd 2.86
Cd1 0.1664 0.0000 0.0000  3 In 2.86
Pm1 0.6667 0.3333 0.6667  6 Cd 3.41, 6 In 3.41, 2 Pm 3.74

=====

2.
VASP calculation (GGA-PBE) on ZrFeBr2 after structural relaxation.

Output
Energy ... -5.27 eV/atom
ΔE_f (raw) ... -181 meV per atom
ρ ... 5.23 g cm⁻³
Polymorph energy (0 for the lowest one) ... 264 meV per atom

Cell lengths 7.5415, 7.5415, 7.5415 Å; angles 153.64, 149.14, 41.02 degrees
With the nearest neighbours (Å) after each atom.
Fractional positions:
Br1 0.9784 0.9784 0.0000  4 Fe 2.66, 2 Zr 2.89
Br2 0.7306 0.2306 0.5000  4 Zr 3.00
Fe1 0.4594 0.4594 0.0000  2 Zr 2.49, 4 Br 2.66
Zr1 0.3316 0.8316 0.5000  2 Fe 2.49

=====

3.
VASP calculation (GGA-PBE) on ScV2H after structural relaxation.

Output
Energy ... -5.79 eV/atom
ρ ... 4.48 g cm⁻³
Polymorph energy (0 for the lowest one) ... 1090 meV per atom

Cell lengths 4.2621, 4.2621, 4.2621 Å; angles 60.00, 60.00, 60.00 degrees
With the nearest neighbours (Å) after each atom.
Fractional positions:
V1 0.2500 0.2500 0.2500  4 H 2.61, 4 Sc 2.61
H1 0.0000 0.0000 0.0000  8 V 2.61
Sc1 0.5000 0.5000 0.5000  8 V 2.61
V2 0.7500 0.7500 0.7500  4 H 2.61, 4 Sc 2.61

=====

4.
VASP calculation (GGA-PBE) on LiTaRu2 after structural relaxation.

Output
Energy ... -7.86 eV/atom
ρ ... 10.58 g cm⁻³
Polymorph energy (0 for the lowest one) ... 425 meV per atom

Cell lengths 2.7525, 2.7525, 8.0795 Å; angles 90.00, 90.00, 90.00 degrees
With the nearest neighbours (Å) after each atom.
Fractional positions:
Ta1 0.0000 0.0000 0.4887  4 Ta 2.75, 4 Ru 2.89, 4 Li 3.02
Ru1 0.0000 0.0000 0.0126  8 Ru 2.59-2.75, 4 Li 2.74
Ru2 0.5000 0.5000 0.2240  8 Ru 2.59-2.75, 4 Ta 2.89
Li1 0.5000 0.5000 0.7747  4 Ru 2.74, 4 Li 2.75, 4 Ta 3.02

=====

5.
VASP calculation (GGA-PBE) on Cu2TeI6 after structural relaxation.

Output
Energy ... -2.39 eV/atom
ΔE_f (raw) ... -101 meV per atom
ρ ... 4.93 g cm⁻³

Cell lengths 10.4104, 10.4104, 7.9523 Å; angles 80.56, 80.56, 23.75 degrees
With the nearest neighbours (Å) after each atom.
Fractional positions:
Cu1 0.2212 0.2212 0.0958  4 I 2.62-2.66, 2 Cu 2.77
I1 0.9111 0.9111 0.8396  1 Cu 2.66
Cu2 0.7788 0.7788 0.9042  4 I 2.62-2.66, 2 Cu 2.77
I2 0.7663 0.7663 0.2381  3 Cu 2.62-2.66
I3 0.0889 0.0889 0.1604  1 Cu 2.66
I4 0.2337 0.2337 0.7619  3 Cu 2.62-2.66
I5 0.4151 0.4151 0.3695  2 Te 3.04
Te1 0.0000 0.0000 0.5000  6 I 2.99-3.04
I6 0.5849 0.5849 0.6305  2 Te 3.04

=====

6.
VASP calculation (GGA-PBE) on ZrTl2InI6 after structural relaxation.

Output
Energy ... -3.20 eV/atom
ΔE_f (raw) ... -664 meV per atom
ρ ... 4.99 g cm⁻³

Cell lengths 8.5249, 8.5255, 8.8021 Å; angles 60.95, 60.94, 59.86 degrees
With the nearest neighbours (Å) after each atom.
Fractional positions:
Zr1 0.3257 0.3258 0.0227  6 I 2.93-2.96
I1 0.1174 0.4349 0.7786  1 Zr 2.96
I2 0.6702 0.1163 0.7792  1 Zr 2.96
In1 0.8180 0.8185 0.5453  6 I 3.41-3.57
I3 0.4348 0.6693 0.7778  1 Zr 2.96
I4 0.2068 0.9904 0.2473  1 Zr 2.93
I5 0.9898 0.5566 0.2466  1 Zr 2.93
Tl1 0.5284 0.5272 0.4162  6 I 3.54-3.56
Tl2 0.0156 0.0158 0.9542  6 I 3.52-3.54
I6 0.5550 0.2069 0.2473  1 Zr 2.93

=====

7.
VASP calculation (GGA-PBE) on MgOsBr4 after structural relaxation.

Output
Energy ... -1.90 eV/atom
ΔE_f (raw) ... 1349 meV per atom
ρ ... 5.27 g cm⁻³

Cell lengths 6.1955, 6.1955, 6.1955 Å; angles 60.00, 60.00, 60.00 degrees
With the nearest neighbours (Å) after each atom.
Fractional positions:
Mg1 0.7500 0.7500 0.7500  12 Br 3.63, 4 Os 3.79
Br1 0.3746 0.3746 0.3746  6 Br 3.09-3.11
Br2 0.3746 0.8763 0.3746  6 Br 3.09-3.11
Br3 0.3746 0.3746 0.8763  6 Br 3.09-3.11
Os1 0.0000 0.0000 0.0000  12 Br 3.63, 4 Mg 3.79
Br4 0.8763 0.3746 0.3746  6 Br 3.09-3.11

=====

8.
VASP calculation (GGA-PBE) on Ag2HgP2 after structural relaxation.

Output
Energy ... -3.28 eV/atom
ρ ... 7.30 g cm⁻³
Polymorph energy (0 for the lowest one) ... 0 meV per atom

Cell lengths 9.2802, 4.9398, 5.9351 Å; angles 53.16, 90.00, 90.00 degrees
With the nearest neighbours (Å) after each atom.
Fractional positions:
P1 0.4042 0.0000 0.8896  1 P 2.21, 2 Ag 2.44
P2 0.5958 0.0000 0.1104  1 P 2.21, 2 Ag 2.44
P3 0.9042 0.0000 0.6104  1 P 2.21, 2 Ag 2.44
Ag1 0.7499 0.4999 0.3363  2 P 2.44
Hg1 0.5000 0.0000 0.5000  2 P 2.48
P4 0.0958 0.0000 0.3896  1 P 2.21, 2 Ag 2.44
Ag2 0.7501 0.4999 0.8363  2 P 2.44
Ag3 0.2501 0.5001 0.6637  2 P 2.44
Hg2 0.0000 0.0000 0.0000  2 P 2.48
Ag4 0.2499 0.5001 0.1637  2 P 2.44